A plane-wave DFT calculation with GGA-PBE was carried out for BaYMnS4 after structural relaxation.

Summary:
ΔE_f (raw) (meV/atom): -1508

Unit cell a=6.6040 b=6.2979 c=8.5987 alpha=90.00 beta=107.84 gamma=90.00
Fractional positions:
Ba  0.2403  0.2500  0.4384
Ba  0.7597  0.7500  0.5616
Y  0.2605  0.2500  0.9434
Y  0.7395  0.7500  0.0566
Mn  0.2681  0.7500  0.1742
Mn  0.7319  0.2500  0.8258
S  0.0622  0.7500  0.9137
S  0.0736  0.7500  0.3529
S  0.4881  0.5079  0.7833
S  0.4881  0.9921  0.7833
S  0.5119  0.0079  0.2167
S  0.5119  0.4921  0.2167
S  0.9264  0.2500  0.6471
S  0.9378  0.2500  0.0863